[1]
# NaSbSeBr2 (PBE, optimized geometry)
data_NaSbSeBr2
_chemical_formula_sum 'Na1 Sb1 Se1 Br2'
_cell_length_a 5.112
_cell_length_b 5.112
_cell_length_c 5.538
_cell_angle_alpha 90.00
_cell_angle_beta 90.00
_cell_angle_gamma 90.00
_space_group_name_H-M_alt 'P 4/m m m'
_space_group_IT_number 123
_space_group_name_Hall '-P 4 2'
loop_
_atom_site_label
_atom_site_type_symbol
_atom_site_fract_x
_atom_site_fract_y
_atom_site_fract_z
_atom_site_occupancy
Na1 Na 0.000 0.000 0.000 1
Sb1 Sb 0.500 0.500 0.500 1
Se1 Se 0.000 0.000 0.500 1
Br1 Br 0.000 0.500 0.000 1
# Energy relative to the lowest polymorph listed for this composition, eV/atom: 0.627
# Size of the total moment, Bohr magnetons per cell: 0.2
# E_form (uncorrected), eV per atom: 0.0657
# Calculated density, g/cm3: 4.4

***

[2]
# Ba2Er3Se6 (PBE, optimized geometry)
data_Ba2Er3Se6
_chemical_formula_sum 'Ba4 Er6 Se12'
_cell_length_a 7.219
_cell_length_b 12.495
_cell_length_c 7.918
_cell_angle_alpha 90.00
_cell_angle_beta 107.67
_cell_angle_gamma 90.00
_space_group_name_H-M_alt 'C 1 2/m 1'
_space_group_IT_number 12
_space_group_name_Hall '-C 2y'
loop_
_atom_site_label
_atom_site_type_symbol
_atom_site_fract_x
_atom_site_fract_y
_atom_site_fract_z
_atom_site_occupancy
Ba1 Ba 0.000 0.167 0.000 1
Er1 Er 0.000 0.000 0.500 1
Er2 Er 0.000 0.334 0.500 1
Se1 Se 0.235 0.500 0.711 1
Se2 Se 0.237 0.166 0.709 1
# Size of the total moment, Bohr magnetons per cell: 0.0
# E_form (uncorrected), eV per atom: -1.9239
# Calculated density, g/cm3: 6.1

***

[3]
# KTeSeI2 (PBE, optimized geometry)
data_KTeSeI2
_chemical_formula_sum 'K1 Te1 Se1 I2'
_cell_length_a 6.584
_cell_length_b 6.584
_cell_length_c 6.694
_cell_angle_alpha 90.00
_cell_angle_beta 90.00
_cell_angle_gamma 90.00
_space_group_name_H-M_alt 'P 4/m m m'
_space_group_IT_number 123
_space_group_name_Hall '-P 4 2'
loop_
_atom_site_label
_atom_site_type_symbol
_atom_site_fract_x
_atom_site_fract_y
_atom_site_fract_z
_atom_site_occupancy
K1 K 0.000 0.000 0.000 1
Te1 Te 0.000 0.000 0.500 1
Se1 Se 0.500 0.500 0.500 1
I1 I 0.000 0.500 0.000 1
# Energy relative to the lowest polymorph listed for this composition, eV/atom: 0.840
# Size of the total moment, Bohr magnetons per cell: 5.0
# E_form (uncorrected), eV per atom: 0.5192
# Calculated density, g/cm3: 2.9

***

[4]
# LiPm3Y3Se8 (PBE, optimized geometry)
data_LiPm3Y3Se8
_chemical_formula_sum 'Li3 Pm9 Y9 Se24'
_cell_length_a 8.2104
_cell_length_b 8.2104
_cell_length_c 20.2240
_cell_angle_alpha 90.00
_cell_angle_beta 90.00
_cell_angle_gamma 120.00
_space_group_name_H-M_alt 'R -3 m'
_space_group_IT_number 166
_space_group_name_Hall '-R 3 2"'
loop_
_atom_site_label
_atom_site_type_symbol
_atom_site_fract_x
_atom_site_fract_y
_atom_site_fract_z
_atom_site_occupancy
Li1 Li 0.0000 0.0000 0.0000 1
Pm1 Pm 0.0000 0.5000 0.5000 1
Y1 Y 0.0000 0.5000 0.0000 1
Se1 Se 0.0000 0.0000 0.2528 1
Se2 Se 0.0017 0.5008 0.7467 1
# Size of the total moment, Bohr magnetons per cell: 0.0
# E_form (uncorrected), eV per atom: -1.8122
# Calculated density, g/cm3: 5.7

***

[5]
# CsCd2Ag2 (PBE, optimized geometry)
data_CsCd2Ag2
_chemical_formula_sum 'Cs2 Cd4 Ag4'
_cell_length_a 9.067
_cell_length_b 9.067
_cell_length_c 3.208
_cell_angle_alpha 90.00
_cell_angle_beta 90.00
_cell_angle_gamma 90.00
_space_group_name_H-M_alt 'P 4/m b m'
_space_group_IT_number 127
_space_group_name_Hall '-P 4 2ab'
loop_
_atom_site_label
_atom_site_type_symbol
_atom_site_fract_x
_atom_site_fract_y
_atom_site_fract_z
_atom_site_occupancy
Cs1 Cs 0.000 0.000 0.000 1
Cd1 Cd 0.119 0.381 0.000 1
Ag1 Ag 0.169 0.669 0.500 1
# Energy relative to the lowest polymorph listed for this composition, eV/atom: 0.093
# Size of the total moment, Bohr magnetons per cell: 0.0
# ΔE_f, meV/atom: 80
# Calculated density, g/cm3: 7.2

***

[6]
# AsSe2 (PBE, optimized geometry)
data_AsSe2
_chemical_formula_sum 'As4 Se8'
_cell_length_a 6.551
_cell_length_b 6.551
_cell_length_c 6.551
_cell_angle_alpha 90.00
_cell_angle_beta 90.00
_cell_angle_gamma 90.00
_space_group_name_H-M_alt 'P a -3'
_space_group_IT_number 205
_space_group_name_Hall '-P 2ac 2ab 3'
loop_
_atom_site_label
_atom_site_type_symbol
_atom_site_fract_x
_atom_site_fract_y
_atom_site_fract_z
_atom_site_occupancy
As1 As 0.000 0.000 0.000 1
Se1 Se 0.131 0.631 0.869 1
# Size of the total moment, Bohr magnetons per cell: 0.0
# E_form (uncorrected), eV per atom: 0.1393
# Calculated density, g/cm3: 5.5

***

[7]
# ScReIr (PBE, optimized geometry)
data_ScReIr
_chemical_formula_sum 'Sc1 Re1 Ir1'
_cell_length_a 2.9009
_cell_length_b 2.9009
_cell_length_c 6.7704
_cell_angle_alpha 90.00
_cell_angle_beta 90.00
_cell_angle_gamma 120.00
_space_group_name_H-M_alt 'P 3 m 1'
_space_group_IT_number 156
_space_group_name_Hall 'P 3 -2"'
loop_
_atom_site_label
_atom_site_type_symbol
_atom_site_fract_x
_atom_site_fract_y
_atom_site_fract_z
_atom_site_occupancy
Sc1 Sc 0.0000 0.0000 0.0000 1
Re1 Re 0.6667 0.3333 0.6502 1
Ir1 Ir 0.3333 0.6667 0.3377 1
# Energy relative to the lowest polymorph listed for this composition, eV/atom: 0.314
# Size of the total moment, Bohr magnetons per cell: 0.0
# ΔE_f, meV/atom: -1
# Calculated density, g/cm3: 14.2

***

[8]
# RbNa4As2 (PBE, optimized geometry)
data_RbNa4As2
_chemical_formula_sum 'Rb2 Na8 As4'
_cell_length_a 9.237
_cell_length_b 9.237
_cell_length_c 4.911
_cell_angle_alpha 90.00
_cell_angle_beta 90.00
_cell_angle_gamma 90.00
_space_group_name_H-M_alt 'P 42/m n m'
_space_group_IT_number 136
_space_group_name_Hall '-P 4n 2n'
loop_
_atom_site_label
_atom_site_type_symbol
_atom_site_fract_x
_atom_site_fract_y
_atom_site_fract_z
_atom_site_occupancy
Rb1 Rb 0.000 0.000 0.000 1
Na1 Na 0.087 0.322 0.500 1
As1 As 0.227 0.773 0.500 1
# Size of the total moment, Bohr magnetons per cell: 2.0
# ΔE_f, meV/atom: -294
# Calculated density, g/cm3: 2.6

***

[9]
# AlAg4Au5 (PBE, optimized geometry)
data_AlAg4Au5
_chemical_formula_sum 'Al2 Ag8 Au10'
_cell_length_a 8.321
_cell_length_b 8.321
_cell_length_c 5.561
_cell_angle_alpha 90.00
_cell_angle_beta 90.00
_cell_angle_gamma 90.00
_space_group_name_H-M_alt 'I 4'
_space_group_IT_number 79
_space_group_name_Hall 'I 4'
loop_
_atom_site_label
_atom_site_type_symbol
_atom_site_fract_x
_atom_site_fract_y
_atom_site_fract_z
_atom_site_occupancy
Al1 Al 0.000 0.000 0.000 1
Ag1 Ag 0.064 0.327 0.742 1
Au1 Au 0.000 0.000 0.569 1
Au2 Au 0.108 0.239 0.239 1
# Energy relative to the lowest polymorph listed for this composition, eV/atom: 0.122
# Size of the total moment, Bohr magnetons per cell: 0.0
# ΔE_f, meV/atom: 9
# Calculated density, g/cm3: 12.4